VASP calculation (meta-GGA SCAN) on a crystal of As2PbAu relaxed with PBEsol.

Output
- VASP energy: -46.304 eV per atom
- SG: R3m
- Crystal system: trigonal

The structure in extended XYZ format:
```
4
Lattice="1.884 1.088 7.182 -1.884 1.088 7.182 0.000 -2.176 7.182" Properties=species:S:1:pos:R:3 pbc="T T T"
As 0.000 0.000 0.000
As 0.000 0.000 5.718
Pb 0.000 0.000 10.754
Au 0.000 0.000 16.019
```

VASP calculation (meta-GGA SCAN) on a crystal of CeHfO4 relaxed with PBEsol.

Output
- E_form (uncorrected): -3748.6 meV per atom
- SG: I4_1/a
- Crystal system: tetragonal

The structure in extended XYZ format:
```
12
Lattice="-2.616 2.616 5.289 2.616 -2.616 5.289 2.616 2.616 -5.289" Properties=species:S:1:pos:R:3 pbc="T T T"
Ce 0.000 1.308 1.322
Ce 2.616 1.308 3.967
Hf 2.616 1.308 -1.322
Hf 0.000 1.308 6.612
O 3.866 0.139 -0.192
O 3.784 -0.058 2.453
O 1.168 -0.058 2.836
O 1.365 2.476 -0.192
O 1.250 0.139 5.481
O 1.447 2.673 2.453
O -1.168 2.673 2.836
O -1.250 2.476 5.481
```

VASP calculation (meta-GGA SCAN) on a crystal of RbNiAgBi2 relaxed with PBEsol.

Output
- VASP energy: -43.297 eV per atom
- SG: P4/mmm
- Crystal system: tetragonal

The structure in extended XYZ format:
```
5
Lattice="6.007 0.000 0.000 0.000 6.007 0.000 0.000 0.000 4.492" Properties=species:S:1:pos:R:3 pbc="T T T"
Rb 0.000 0.000 0.000
Ni 0.000 0.000 2.246
Ag 3.003 3.003 2.246
Bi 0.000 3.003 0.000
Bi 3.003 0.000 0.000
```

VASP calculation (meta-GGA SCAN) on a crystal of MnTl2Ir relaxed with PBEsol.

Output
- SG: I-4m2
- Crystal system: tetragonal
- ΔE to the lowest computed polymorph: 240.5 meV per atom

The structure in extended XYZ format:
```
4
Lattice="-2.032 2.032 4.389 2.032 -2.032 4.389 2.032 2.032 -4.389" Properties=species:S:1:pos:R:3 pbc="T T T"
Mn 0.000 0.000 0.000
Tl 0.000 0.000 4.389
Tl 0.000 2.032 2.195
Ir 2.032 0.000 2.195
```

Taking the records one at a time from the top gives density of states at the Fermi level values of 0.387, 0.000, 0.886, 0.489 states/eV per atom.